No. 1
VASP calculation (PBE) on crystalline TcF4 at its relaxed geometry.

## Properties
- Energy above the most stable polymorph in this dataset: 0 kJ/mol of formula units
- Energy relative to the elements, uncorrected: -1.980 eV per atom

```
data_TcF4
_chemical_formula_sum 'Tc8 F32'
_space_group_name_H-M_alt 'P b c a'
_space_group_IT_number 61
_cell_length_a 5.485
_cell_length_b 9.997
_cell_length_c 11.733
_cell_angle_alpha 90.00
_cell_angle_beta 90.00
_cell_angle_gamma 90.00
loop_
_space_group_symop_operation_xyz
'x,y,z'
'-x,-y,-z'
'-x+1/2,-y,z+1/2'
'x+1/2,y,-z+1/2'
'x+1/2,-y+1/2,-z'
'-x+1/2,y+1/2,z'
'-x,y+1/2,-z+1/2'
'x,-y+1/2,z+1/2'
loop_
_atom_site_label
_atom_site_type_symbol
_atom_site_fract_x
_atom_site_fract_y
_atom_site_fract_z
Tc1 Tc 0.095 0.129 0.176
F1 F 0.051 0.743 0.429
F2 F 0.092 0.734 0.194
F3 F 0.216 0.523 0.305
F4 F 0.239 0.014 0.071
```

No. 2
VASP calculation (PBE) on crystalline Pm2TmTh4 at its relaxed geometry.

## Properties
- ΔE_f: 1.707 kcal/mol of atoms

```
data_Pm2TmTh4
_chemical_formula_sum 'Pm4 Tm2 Th8'
_space_group_name_H-M_alt 'C m m m'
_space_group_IT_number 65
_space_group_name_Hall '-C 2 2'
_cell_length_a 3.573
_cell_length_b 36.237
_cell_length_c 3.576
_cell_angle_alpha 90.00
_cell_angle_beta 90.00
_cell_angle_gamma 90.00
loop_
_atom_site_label
_atom_site_type_symbol
_atom_site_fract_x
_atom_site_fract_y
_atom_site_fract_z
Pm1 Pm 0.000 0.206 0.000
Tm1 Tm 0.000 0.500 0.500
Th1 Th 0.000 0.070 0.000
Th2 Th 0.000 0.363 0.500
```